The following is a PBE-GGA calculation of crystalline ThFe4Ge12 at its relaxed geometry, from the Alexandria database.

Values from the calculation:
Energy of formation from the pure elements   6 meV/atom

Unit cell a=8.462 b=8.462 c=8.462 alpha=90.00 beta=90.00 gamma=90.00
Space group Im-3 (No. 204)
Inequivalent atoms, fractional coordinates:
1 Th 0.000 0.000 0.000 (multiplicity 2)
2 Fe 0.250 0.250 0.250 (multiplicity 8)
3 Ge 0.000 0.167 0.342 (multiplicity 24)